! PbIN2, PBEsol geometry, DFT SCAN; values from VASP
! E_tot = -125.15 eV for the cell shown
! spin magnetization = 0.00 μB per formula unit
&SYSTEM
  ibrav = 0, nat = 4, ntyp = 3
/
ATOMIC_SPECIES
Pb 207.20 Pb.upf
I 126.90 I.upf
N 14.01 N.upf
ATOMIC_POSITIONS crystal
Pb 0.0000 0.0000 0.0000
I 0.5000 0.5000 0.5000
N 0.1132 0.1132 0.1132
N 0.8868 0.8868 0.8868
CELL_PARAMETERS angstrom
1.6916 0.9766 7.2998
-1.6916 0.9766 7.2998
0.0000 -1.9533 7.2998

***

! PdPbIN2, PBEsol geometry, DFT SCAN; values from VASP
! E_tot = -157.34 eV for the cell shown
! spin magnetization = 2.82 μB per formula unit
&SYSTEM
  ibrav = 0, nat = 5, ntyp = 4
/
ATOMIC_SPECIES
Pd 106.42 Pd.upf
Pb 207.20 Pb.upf
I 126.90 I.upf
N 14.01 N.upf
ATOMIC_POSITIONS crystal
Pd 0.0000 0.0000 0.0000
Pb 0.5000 0.5000 0.5000
I 0.0000 0.0000 0.5000
N 0.0000 0.5000 0.0000
N 0.5000 0.0000 0.0000
CELL_PARAMETERS angstrom
4.2621 0.0000 0.0000
0.0000 4.2621 0.0000
0.0000 0.0000 5.3288

***

! PdPb2IN, PBEsol geometry, DFT SCAN; values from VASP
! E_tot = -223.71 eV for the cell shown
! spin magnetization = 0.47 μB per formula unit
&SYSTEM
  ibrav = 0, nat = 5, ntyp = 4
/
ATOMIC_SPECIES
Pd 106.42 Pd.upf
Pb 207.20 Pb.upf
I 126.90 I.upf
N 14.01 N.upf
ATOMIC_POSITIONS crystal
Pd 0.0000 0.0000 0.0000
Pb 0.0000 0.5000 0.5000
Pb 0.5000 0.0000 0.5000
I 0.5000 0.5000 0.5000
N 0.5000 0.5000 0.0000
CELL_PARAMETERS angstrom
5.8489 0.0000 0.0000
0.0000 5.8489 0.0000
0.0000 0.0000 3.9612

***

! RbPbIN2, PBEsol geometry, DFT SCAN; values from VASP
! E_tot = -147.37 eV for the cell shown
! spin magnetization = 2.97 μB per formula unit
&SYSTEM
  ibrav = 0, nat = 5, ntyp = 4
/
ATOMIC_SPECIES
Rb 85.47 Rb.upf
Pb 207.20 Pb.upf
I 126.90 I.upf
N 14.01 N.upf
ATOMIC_POSITIONS crystal
Rb 0.0000 0.0000 0.0000
Pb 0.5000 0.5000 0.5000
I 0.5000 0.5000 0.0000
N 0.0000 0.5000 0.5000
N 0.5000 0.0000 0.5000
CELL_PARAMETERS angstrom
4.6989 0.0000 0.0000
0.0000 4.6989 0.0000
0.0000 0.0000 6.4348